one | {"formula": "Ba2AsS", "functional": "GGA-PBE", "state": "relaxed", "cell": [[-1.516, -3.965, 7.144], [7.938, -2.439, 0.331], [4.292, 0.635, 6.097]], "species": ["S", "S", "As", "As", "Ba", "Ba", "Ba", "Ba"], "fractional_positions": [[0.500, 0.500, 0.000], [0.250, 0.750, 0.500], [0.000, 0.000, 0.000], [0.750, 0.250, 0.500], [0.147, 0.625, 0.250], [0.875, 0.853, 0.750], [0.603, 0.125, 0.250], [0.375, 0.397, 0.750]]}

two | {"formula": "Ba2AsS", "functional": "GGA-PBE", "state": "relaxed", "cell": [[-2.893, -1.691, 4.511], [0.879, 2.447, 4.981], [-3.937, 3.335, 2.225]], "species": ["Ba", "Ba", "As", "S"], "fractional_positions": [[0.750, 0.750, 0.750], [0.250, 0.250, 0.250], [0.500, 0.500, 0.500], [0.000, 0.000, 0.000]]}

Which structure wins on stability? two wins.